1.
The following is a PBE-GGA calculation of a geometry-optimized ScPt2Br structure, from Alexandria.

abc: 3.7454 3.7154 7.0004
angles: 90.00 104.82 90.00
With the nearest neighbours (Å) after each atom.
Atoms (fractional coordinates):
Sc 0.0000 0.0000 0.0000  4 Pt 2.65-2.66
Pt 0.3672 0.0000 0.7232  4 Pt 2.64, 2 Sc 2.65
Pt 0.8646 0.5000 0.7180  4 Pt 2.64, 2 Sc 2.66
Br 0.6044 0.5000 0.2179  4 Sc 3.02

Properties
E above lowest polymorph: 0.0000 eV per atom

***

2.
The following is a PBE-GGA calculation of a geometry-optimized TbPmTePb structure, from Alexandria.

abc: 7.7621 7.7621 7.7621
angles: 33.52 33.52 33.52
With the nearest neighbours (Å) after each atom.
Atoms (fractional coordinates):
Tb 0.0000 0.0000 0.0000  3 Pb 3.11, 3 Te 3.17
Pm 0.5051 0.5051 0.5051  3 Pb 3.16, 3 Te 3.23
Te 0.7504 0.7504 0.7504  3 Tb 3.17, 3 Pm 3.23
Pb 0.2544 0.2544 0.2544  3 Tb 3.11, 3 Pm 3.16

Properties
VASP energy: -20.16 eV for the cell shown

***

3.
The following is a PBE-GGA calculation of a geometry-optimized KBaSr2Pd structure, from Alexandria.

abc: 6.0612 6.0612 6.6063
angles: 90.00 90.00 90.00
With the nearest neighbours (Å) after each atom.
Atoms (fractional coordinates):
K 0.0000 0.0000 0.0000  2 Pd 3.30
Ba 0.5000 0.5000 0.0000  4 K 4.29, 8 Sr 4.48
Sr 0.0000 0.5000 0.5000  2 Pd 3.03
Sr 0.5000 0.0000 0.5000  2 Pd 3.03
Pd 0.0000 0.0000 0.5000  4 Sr 3.03, 2 K 3.30

Properties
E above lowest polymorph: 0.1509 eV per atom
ΔH_f (0 K): -0.5 eV/f.u.

***

no.,calculated density (kg/m3)
1,9081
2,8351
3,3134